Entry from Alexandria via LeMat-Bulk: Nd8Te4As3H after structural relaxation (PBE).

Values from the calculation:
Its total energy is -5.573 eV per atom. As for the calculated density: 6.740 g/cm³. The value obtained for the density of states at the Fermi level is 8.32 states/eV per cell. Its space group is R-3m, No. 166.

```
16
Lattice="8.598 0.000 0.000 0.000 8.805 0.139 -4.299 -4.294 6.083" Properties=species:S:1:pos:R:3 pbc="T T T"
Nd 6.426 2.355 0.159
Nd 0.000 4.280 3.053
Nd 4.299 4.269 3.014
Nd 4.299 0.231 3.169
Nd -2.127 2.155 6.063
Nd 0.000 0.241 3.209
Nd 2.172 2.355 0.159
Nd 2.127 2.155 6.063
As 2.150 2.255 3.111
As -2.150 2.255 3.111
As 4.299 4.402 0.069
Te 0.000 0.000 0.000
Te -2.150 -2.147 3.042
Te 4.299 0.000 0.000
Te 2.150 -2.147 3.042
H 0.000 4.402 0.069
```